## Pr2Sm4DyMg (PBE)

Data for crystalline Pr2Sm4DyMg at its relaxed geometry.

Its uncorrected energy is -4.31 eV/atom. As for the total magnetic moment: 0.000 μB/atom. The volume comes out at 262.0 Å³/f.u.

It has space group P4/mmm (No. 123), with a = 5.051 Å, b = 5.051 Å, c = 10.268 Å, α = 90.00°, β = 90.00° and γ = 90.00°. Symmetry generates all atoms from Pr at (0.000, 0.000, 0.000), Pr at (0.500, 0.500, 0.500), Sm at (0.000, 0.500, 0.248), Dy at (0.000, 0.000, 0.500) and Mg at (0.500, 0.500, 0.000).